# 1
# Li3SmCl6 | Alexandria via LeMat-Bulk | PBE | optimized geometry
# DFT total energy	-80.76	eV per cell
# relative energy among the computed polymorphs	89	meV per atom
# uncorrected formation energy	-1.88	eV/atom
# magnetization	0.000	μB per atom
# D(E_F)	0.000	states/eV/atom
data_Li3SmCl6
_chemical_formula_sum 'Li6 Sm2 Cl12'
_space_group_name_H-M_alt 'C m m m'
_space_group_IT_number 65
_space_group_name_Hall '-C 2 2'
_cell_length_a 8.449
_cell_length_b 12.937
_cell_length_c 4.376
_cell_angle_alpha 90.00
_cell_angle_beta 90.00
_cell_angle_gamma 90.00
loop_
_atom_site_label
_atom_site_type_symbol
_atom_site_fract_x
_atom_site_fract_y
_atom_site_fract_z
Li1 Li 0.000 0.000 0.000
Li2 Li 0.250 0.250 0.500
Sm1 Sm 0.000 0.500 0.000
Cl1 Cl 0.000 0.363 0.500
Cl2 Cl 0.211 0.125 0.000

---

# 2
# TbPmSm2Ho2 | Alexandria via LeMat-Bulk | PBE | optimized geometry
# DFT total energy	-52.74	eV per cell
# magnetization	0.000	μB per atom
# D(E_F)	1.660	states/eV/atom
data_TbPmSm2Ho2
_chemical_formula_sum 'Tb2 Pm2 Sm4 Ho4'
_space_group_name_H-M_alt 'P n n m'
_space_group_IT_number 58
_space_group_name_Hall '-P 2 2n'
_cell_length_a 6.570
_cell_length_b 17.996
_cell_length_c 3.402
_cell_angle_alpha 90.00
_cell_angle_beta 90.00
_cell_angle_gamma 90.00
loop_
_atom_site_label
_atom_site_type_symbol
_atom_site_fract_x
_atom_site_fract_y
_atom_site_fract_z
Tb1 Tb 0.000 0.000 0.000
Pm1 Pm 0.000 0.500 0.000
Sm1 Sm 0.224 0.313 0.000
Ho1 Ho 0.221 0.147 0.500

---

# 3
# LiBe2TlBr6 | Alexandria via LeMat-Bulk | PBE | optimized geometry
# DFT total energy	-129.28	eV per cell
# uncorrected formation energy	-1.06	eV/atom
# magnetization	0.000	μB per atom
# D(E_F)	0.000	states/eV/atom
data_LiBe2TlBr6
_chemical_formula_sum 'Li4 Be8 Tl4 Br24'
_space_group_name_H-M_alt 'C 1 2/c 1'
_space_group_IT_number 15
_space_group_name_Hall '-C 2yc'
_cell_length_a 13.268
_cell_length_b 15.025
_cell_length_c 6.292
_cell_angle_alpha 90.00
_cell_angle_beta 99.80
_cell_angle_gamma 90.00
loop_
_atom_site_label
_atom_site_type_symbol
_atom_site_fract_x
_atom_site_fract_y
_atom_site_fract_z
Li1 Li 0.000 0.120 0.250
Be1 Be 0.201 0.074 0.711
Tl1 Tl 0.000 0.389 0.750
Br1 Br 0.119 0.187 0.563
Br2 Br 0.137 0.414 0.248
Br3 Br 0.148 0.054 0.038

---

# 4
# Er2InTe | Alexandria via LeMat-Bulk | PBE | optimized geometry
# DFT total energy	-72.25	eV per cell
# relative energy among the computed polymorphs	105	meV per atom
# uncorrected formation energy	-0.76	eV/atom
# magnetization	0.000	μB per atom
# D(E_F)	0.491	states/eV/atom
data_Er2InTe
_chemical_formula_sum 'Er8 In4 Te4'
_space_group_name_H-M_alt 'P 1 2/c 1'
_space_group_IT_number 13
_space_group_name_Hall '-P 2yc'
_cell_length_a 6.179
_cell_length_b 6.192
_cell_length_c 12.743
_cell_angle_alpha 90.00
_cell_angle_beta 108.88
_cell_angle_gamma 90.00
loop_
_atom_site_label
_atom_site_type_symbol
_atom_site_fract_x
_atom_site_fract_y
_atom_site_fract_z
Er1 Er 0.066 0.249 0.121
Er2 Er 0.385 0.251 0.883
In1 In 0.421 0.249 0.356
Te1 Te 0.123 0.251 0.628

---

# 5
# NdDy3S6 | Alexandria via LeMat-Bulk | PBE | optimized geometry
# DFT total energy	-128.45	eV per cell
# uncorrected formation energy	-2.09	eV/atom
# magnetization	0.000	μB per atom
data_NdDy3S6
_chemical_formula_sum 'Nd2 Dy6 S12'
_space_group_name_H-M_alt 'P 1 21/m 1'
_space_group_IT_number 11
_space_group_name_Hall '-P 2yb'
_cell_length_a 11.089
_cell_length_b 3.995
_cell_length_c 11.367
_cell_angle_alpha 90.00
_cell_angle_beta 108.67
_cell_angle_gamma 90.00
loop_
_atom_site_label
_atom_site_type_symbol
_atom_site_fract_x
_atom_site_fract_y
_atom_site_fract_z
Nd1 Nd 0.048 0.250 0.194
Dy1 Dy 0.161 0.250 0.586
Dy2 Dy 0.319 0.750 0.998
Dy3 Dy 0.439 0.250 0.332
S1 S 0.082 0.750 0.405
S2 S 0.117 0.250 0.963
S3 S 0.195 0.750 0.749
S4 S 0.262 0.750 0.227
S5 S 0.396 0.250 0.560
S6 S 0.478 0.250 0.111

---

# 6
# Cs2CrReCl6 | Alexandria via LeMat-Bulk | PBE | optimized geometry
# DFT total energy	-89.23	eV per cell
# uncorrected formation energy	-0.98	eV/atom
# magnetization	0.693	μB per atom
# D(E_F)	0.713	states/eV/atom
data_Cs2CrReCl6
_chemical_formula_sum 'Cs4 Cr2 Re2 Cl12'
_space_group_name_H-M_alt 'I 4/m m m'
_space_group_IT_number 139
_space_group_name_Hall '-I 4 2'
_cell_length_a 7.211
_cell_length_b 7.211
_cell_length_c 10.256
_cell_angle_alpha 90.00
_cell_angle_beta 90.00
_cell_angle_gamma 90.00
loop_
_atom_site_label
_atom_site_type_symbol
_atom_site_fract_x
_atom_site_fract_y
_atom_site_fract_z
Cs1 Cs 0.000 0.500 0.250
Cr1 Cr 0.000 0.000 0.000
Re1 Re 0.000 0.000 0.500
Cl1 Cl 0.000 0.000 0.260
Cl2 Cl 0.242 0.242 0.500

---

# 7
# HgSCl2 | Alexandria via LeMat-Bulk | PBE | optimized geometry
# DFT total energy	-20.16	eV per cell
# relative energy among the computed polymorphs	621	meV per atom
# uncorrected formation energy	0.35	eV/atom
# magnetization	0.500	μB per atom
# D(E_F)	0.197	states/eV/atom
data_HgSCl2
_chemical_formula_sum 'Hg3 S3 Cl6'
_space_group_name_H-M_alt 'R -3 m'
_space_group_IT_number 166
_space_group_name_Hall '-R 3 2"'
_cell_length_a 3.8970
_cell_length_b 3.8970
_cell_length_c 30.0968
_cell_angle_alpha 90.00
_cell_angle_beta 90.00
_cell_angle_gamma 120.00
loop_
_atom_site_label
_atom_site_type_symbol
_atom_site_fract_x
_atom_site_fract_y
_atom_site_fract_z
Hg1 Hg 0.0000 0.0000 0.0000
S1 S 0.0000 0.0000 0.5000
Cl1 Cl 0.0000 0.0000 0.0761

---

# 8
# Cs3Cd2Bi3 | Alexandria via LeMat-Bulk | PBE | optimized geometry
# DFT total energy	-73.82	eV per cell
# magnetization	0.000	μB per atom
# D(E_F)	0.314	states/eV/atom
data_Cs3Cd2Bi3
_chemical_formula_sum 'Cs12 Cd8 Bi12'
_space_group_name_H-M_alt 'C m c m'
_space_group_IT_number 63
_space_group_name_Hall '-C 2c 2'
_cell_length_a 5.666
_cell_length_b 12.979
_cell_length_c 18.054
_cell_angle_alpha 90.00
_cell_angle_beta 90.00
_cell_angle_gamma 90.00
loop_
_atom_site_label
_atom_site_type_symbol
_atom_site_fract_x
_atom_site_fract_y
_atom_site_fract_z
Cs1 Cs 0.000 0.087 0.122
Cs2 Cs 0.000 0.405 0.250
Cd1 Cd 0.000 0.210 0.594
Bi1 Bi 0.000 0.290 0.750
Bi2 Bi 0.000 0.382 0.026